10
Lattice="-3.3764 -6.6234 2.0293 5.0934 -0.8436 5.7212 -1.8479 1.5145 1.8685" Properties=species:S:1:pos:R:3 comment="Si2BiPd2 (PBE, relaxed)" de_polymorph_mev_per_atom=216 formation_energy_uncorrected_ev_per_atom=-0.077 sg=P4/mbm final_energy_ev_per_atom=-5.099 pbc="T T T"
Si 1.8662 -0.7234 4.8938
Si 1.2803 -4.2176 7.1466
Si -1.9971 -5.2292 4.7251
Si -1.4112 -1.7349 2.4724
Bi 0.0000 0.0000 0.0000
Bi 0.8585 -3.7335 3.8752
Pd 3.1774 -3.1643 5.7072
Pd 0.2944 -6.2781 5.3799
Pd -1.4603 -4.3027 2.0433
Pd 1.4226 -1.1889 2.3706